No. 1
# GGA-PBEsol Ba3ReBi, optimized geometry
data_Ba3ReBi
_cell_length_a 6.548
_cell_length_b 6.548
_cell_length_c 6.548
_cell_angle_alpha 90.00
_cell_angle_beta 90.00
_cell_angle_gamma 90.00
_symmetry_space_group_name_H-M 'P 1'
_symmetry_Int_Tables_number 1
_symmetry_space_group_name_Hall 'P 1'
loop_
_atom_site_label
_atom_site_type_symbol
_atom_site_fract_x
_atom_site_fract_y
_atom_site_fract_z
_atom_site_occupancy
Ba1 Ba 0.500 0.000 0.000 1
Ba2 Ba 0.000 0.000 0.500 1
Ba3 Ba 0.000 0.500 0.000 1
Bi1 Bi 0.000 0.000 0.000 1
Re1 Re 0.500 0.500 0.500 1
# energy = -3.68 eV/atom
# energy of formation = 1133 meV per atom

---

No. 2
# GGA-PBEsol BaSrRe2Bi, optimized geometry
data_BaSrRe2Bi
_cell_length_a 5.129
_cell_length_b 5.129
_cell_length_c 6.027
_cell_angle_alpha 90.00
_cell_angle_beta 90.00
_cell_angle_gamma 90.00
_symmetry_space_group_name_H-M 'P 1'
_symmetry_Int_Tables_number 1
_symmetry_space_group_name_Hall 'P 1'
loop_
_atom_site_label
_atom_site_type_symbol
_atom_site_fract_x
_atom_site_fract_y
_atom_site_fract_z
_atom_site_occupancy
Re1 Re 0.500 0.000 0.000 1
Re2 Re 0.000 0.500 0.000 1
Bi1 Bi 0.000 0.000 0.000 1
Ba1 Ba 0.000 0.000 0.500 1
Sr1 Sr 0.500 0.500 0.500 1
# energy = -5.18 eV/atom
# energy of formation = 1807 meV per atom

---

No. 3
# GGA-PBEsol BaBi2Rh2, optimized geometry
data_BaBi2Rh2
_cell_length_a 4.683
_cell_length_b 4.683
_cell_length_c 6.747
_cell_angle_alpha 110.31
_cell_angle_beta 110.31
_cell_angle_gamma 90.00
_symmetry_space_group_name_H-M 'P 1'
_symmetry_Int_Tables_number 1
_symmetry_space_group_name_Hall 'P 1'
loop_
_atom_site_label
_atom_site_type_symbol
_atom_site_fract_x
_atom_site_fract_y
_atom_site_fract_z
_atom_site_occupancy
Rh1 Rh 0.250 0.750 0.500 1
Rh2 Rh 0.750 0.250 0.500 1
Bi1 Bi 0.641 0.641 0.282 1
Bi2 Bi 0.359 0.359 0.718 1
Ba1 Ba 0.000 0.000 0.000 1
# energy = -5.77 eV/atom
# energy of formation = -375 meV per atom